No. 1
A relaxed structure of TbDy2Cl. Source: Alexandria via LeMat-Bulk, functional GGA-PBE.

a = 3.4323 Å, b = 3.4323 Å, c = 33.5611 Å
α = 90.00°, β = 90.00°, γ = 120.00°
Space group R-3m (No. 166, hexagonal axes)
Symmetry-distinct sites (fractional):
Tb1 0.0000 0.0000 0.0000 [3 per cell]
Dy1 0.0000 0.0000 0.1007 [6 per cell]
Cl1 0.0000 0.0000 0.5000 [3 per cell]

***

No. 2
A relaxed structure of Er2Cd3Ni2. Source: Alexandria via LeMat-Bulk, functional GGA-PBE.

a = 3.876 Å, b = 20.419 Å, c = 3.666 Å
α = 90.00°, β = 90.00°, γ = 90.00°
Space group Cmmm (No. 65)
Symmetry-distinct sites (fractional):
Er1 0.000 0.174 0.000 [4 per cell]
Cd1 0.000 0.000 0.000 [2 per cell]
Cd2 0.000 0.421 0.500 [4 per cell]
Ni1 0.000 0.286 0.500 [4 per cell]

***

No. 3
A relaxed structure of ErSeF. Source: Alexandria via LeMat-Bulk, functional GGA-PBE.

a = 9.970 Å, b = 4.063 Å, c = 18.793 Å
α = 90.00°, β = 90.00°, γ = 90.00°
Space group Pnma (No. 62)
Symmetry-distinct sites (fractional):
Er1 0.076 0.250 0.081 [4 per cell]
Er2 0.091 0.250 0.416 [4 per cell]
Er3 0.243 0.750 0.239 [4 per cell]
Se1 0.004 0.750 0.321 [4 per cell]
Se2 0.165 0.750 0.514 [4 per cell]
Se3 0.165 0.750 0.840 [4 per cell]
F1 0.010 0.250 0.966 [4 per cell]
F2 0.150 0.750 0.128 [4 per cell]
F3 0.187 0.250 0.196 [4 per cell]

***

no.,E_tot (eV/atom),DOS at the Fermi energy (states/eV per atom)
1,-4.2855,1.41
2,-3.7239,0.45
3,-6.1773,0.00